Run i
A plane-wave DFT calculation with PBE was carried out for a relaxed structure of Li2YIr. Values from VASP.

Values from the calculation:
density of states at the Fermi level = 0.52 states/eV/atom
SG = P4/mmm (123)

```
&SYSTEM
  ibrav = 0, nat = 4, ntyp = 3
/
ATOMIC_SPECIES
Li 6.94 Li.upf
Y 88.91 Y.upf
Ir 192.22 Ir.upf
CELL_PARAMETERS angstrom
3.9668 0.0000 0.0000
0.0000 3.9668 0.0000
0.0000 0.0000 4.7511
ATOMIC_POSITIONS crystal
Li 0.0000 0.5000 0.0000
Li 0.5000 0.0000 0.0000
Y 0.0000 0.0000 0.5000
Ir 0.5000 0.5000 0.5000
```


Run ii
A plane-wave DFT calculation with PBE was carried out for a relaxed structure of Li2YIr. Values from VASP.

Values from the calculation:
density of states at the Fermi level = 0.42 states/eV/atom
SG = I-42d (122)

```
&SYSTEM
  ibrav = 0, nat = 8, ntyp = 3
/
ATOMIC_SPECIES
Li 6.94 Li.upf
Y 88.91 Y.upf
Ir 192.22 Ir.upf
CELL_PARAMETERS angstrom
-1.9793 1.9793 10.1019
1.9793 -1.9793 10.1019
1.9793 1.9793 -10.1019
ATOMIC_POSITIONS crystal
Li 0.0535 0.1250 0.4285
Li 0.3750 0.9465 0.0715
Li 0.6965 0.6250 0.5715
Li 0.8750 0.3035 0.9285
Y 0.2500 0.7500 0.5000
Y 0.5000 0.5000 0.0000
Ir 0.0000 0.0000 0.0000
Ir 0.7500 0.2500 0.5000
```


Run iii
A plane-wave DFT calculation with PBE was carried out for a relaxed structure of Li2YIr. Values from VASP.

Values from the calculation:
density of states at the Fermi level = 0.57 states/eV/atom
SG = Immm (71)

```
&SYSTEM
  ibrav = 0, nat = 4, ntyp = 3
/
ATOMIC_SPECIES
Li 6.94 Li.upf
Y 88.91 Y.upf
Ir 192.22 Ir.upf
CELL_PARAMETERS angstrom
-1.9329 2.0535 4.4657
1.9329 -2.0535 4.4657
1.9329 2.0535 -4.4657
ATOMIC_POSITIONS crystal
Li 0.2423 0.2423 0.0000
Li 0.7577 0.7577 0.0000
Y 0.5000 0.0000 0.5000
Ir 0.0000 0.5000 0.5000
```


Run iv
A plane-wave DFT calculation with PBE was carried out for a relaxed structure of Li2YIr. Values from VASP.

Values from the calculation:
density of states at the Fermi level = 0.88 states/eV/atom
SG = R-3m (166)

```
&SYSTEM
  ibrav = 0, nat = 4, ntyp = 3
/
ATOMIC_SPECIES
Li 6.94 Li.upf
Y 88.91 Y.upf
Ir 192.22 Ir.upf
CELL_PARAMETERS angstrom
1.4645 0.8455 9.9954
-1.4645 0.8455 9.9954
0.0000 -1.6910 9.9954
ATOMIC_POSITIONS crystal
Li 0.2353 0.2353 0.2353
Li 0.7647 0.7647 0.7647
Y 0.0000 0.0000 0.0000
Ir 0.5000 0.5000 0.5000
```


Stability, lowest: run iv


Run i
A plane-wave DFT calculation with PBE was carried out for a relaxed structure of Li2YIr. Values from VASP.

Values from the calculation:
density of states at the Fermi level = 0.50 states/eV/atom
SG = Pmm2 (25)

```
&SYSTEM
  ibrav = 0, nat = 4, ntyp = 3
/
ATOMIC_SPECIES
Li 6.94 Li.upf
Y 88.91 Y.upf
Ir 192.22 Ir.upf
CELL_PARAMETERS angstrom
3.2843 0.0000 0.0000
0.0000 3.5249 0.0000
0.0000 0.0000 6.8096
ATOMIC_POSITIONS crystal
Li 0.0000 0.0000 0.0000
Li 0.5000 0.5000 0.2006
Y 0.5000 0.5000 0.6218
Ir 0.0000 0.0000 0.3999
```


Run ii
A plane-wave DFT calculation with PBE was carried out for a relaxed structure of Li2YIr. Values from VASP.

Values from the calculation:
density of states at the Fermi level = 0.86 states/eV/atom
SG = Cmmm (65)

```
&SYSTEM
  ibrav = 0, nat = 4, ntyp = 3
/
ATOMIC_SPECIES
Li 6.94 Li.upf
Y 88.91 Y.upf
Ir 192.22 Ir.upf
CELL_PARAMETERS angstrom
1.5492 -2.3925 0.0000
1.5492 2.3925 0.0000
0.0000 0.0000 10.0156
ATOMIC_POSITIONS crystal
Li 0.0000 0.0000 0.2027
Li 0.0000 0.0000 0.7973
Y 0.5000 0.5000 0.5000
Ir 0.5000 0.5000 0.0000
```


Stability, lowest: run ii


Run i
A plane-wave DFT calculation with PBE was carried out for a relaxed structure of Li2YIr. Values from VASP.

Values from the calculation:
density of states at the Fermi level = 0.39 states/eV/atom
SG = P2/m (10)

```
&SYSTEM
  ibrav = 0, nat = 4, ntyp = 3
/
ATOMIC_SPECIES
Li 6.94 Li.upf
Y 88.91 Y.upf
Ir 192.22 Ir.upf
CELL_PARAMETERS angstrom
3.2991 0.0000 0.0000
0.0000 4.9116 0.0000
-0.3698 0.0000 4.6719
ATOMIC_POSITIONS crystal
Li 0.2012 0.0000 0.3016
Li 0.7988 0.0000 0.6984
Y 0.5000 0.5000 0.0000
Ir 0.0000 0.5000 0.5000
```


Run ii
A plane-wave DFT calculation with PBE was carried out for a relaxed structure of Li2YIr. Values from VASP.

Values from the calculation:
density of states at the Fermi level = 0.67 states/eV/atom
SG = Fm-3m (225)

```
&SYSTEM
  ibrav = 0, nat = 4, ntyp = 3
/
ATOMIC_SPECIES
Li 6.94 Li.upf
Y 88.91 Y.upf
Ir 192.22 Ir.upf
CELL_PARAMETERS angstrom
0.0000 3.1973 3.1973
3.1973 0.0000 3.1973
3.1973 3.1973 0.0000
ATOMIC_POSITIONS crystal
Li 0.2500 0.2500 0.2500
Li 0.7500 0.7500 0.7500
Y 0.0000 0.0000 0.0000
Ir 0.5000 0.5000 0.5000
```


Stability, lowest: run ii